This record from Alexandria via LeMat-Bulk describes an optimized crystal structure of Er5Tl2Tc2. The functional is PBE-GGA.

```
18
Lattice="-3.922 -4.723 3.995 6.060 -4.184 1.002 -0.089 2.034 9.031" Properties=species:S:1:pos:R:3 pbc="T T T"
Er 0.000 0.000 0.000
Er 1.069 -4.453 2.499
Er -0.702 -1.277 8.805
Er 1.767 -5.665 10.890
Er 2.873 -2.713 8.751
Er -1.808 -4.228 10.943
Er 2.751 -5.596 5.224
Er 0.283 -1.208 3.139
Er -0.823 -4.159 5.277
Er 3.857 -2.644 3.085
Tl -0.940 0.035 5.832
Tl 0.129 -4.418 8.331
Tl -3.070 -2.723 7.194
Tl 1.920 -2.454 5.698
Tc 1.869 -2.130 0.834
Tc 0.269 -6.777 4.163
Tc 3.824 -5.516 2.430
Tc -1.686 -3.391 2.568
```

- space-group type = No. 64
- energy of formation (eV/atom) = -0.20